VASP calculation (PBE) on crystalline Tb3PaSb4 at its relaxed geometry.

It has space group I4/mmm (No. 139), with a = 6.2067 Å, b = 6.2067 Å, c = 12.4053 Å, α = 90.00°, β = 90.00° and γ = 90.00°. The asymmetric unit holds Tb at (0.0000, 0.0000, 0.0000), Tb at (0.0000, 0.5000, 0.2500), Pa at (0.0000, 0.0000, 0.5000), Sb at (0.0000, 0.0000, 0.2527) and Sb at (0.0000, 0.5000, 0.0000).

The calculation puts the formation energy from raw total energies at -0.973 eV/atom. For the density, the calculation gives 8.304 Mg/m³. The total magnetic moment is 0.50 μB per formula unit.